[1]
First-principles (GGA-PBE) data for crystalline TlRe2Si at its relaxed geometry, as listed in the Alexandria database.

Volume, Å³ per cell: 65.82
Polymorph energy (0 for the lowest one), meV per atom: 254
Space group: No. 71
Formation energy without anion corrections, kJ/mol of atoms: 64.1
Total moment, Bohr magnetons per cell: 0.0

Cell: 5.3884 5.3884 5.3884 Å, 147.73 127.24 63.21°
Positions (direct):
Tl1 0.0000 0.0000 0.0000
Re1 0.2876 0.7876 0.5000
Re2 0.7124 0.2124 0.5000
Si1 0.5000 0.5000 0.0000

[2]
First-principles (GGA-PBE) data for crystalline TlRe2Si at its relaxed geometry, as listed in the Alexandria database.

Volume, Å³ per cell: 155.84
Polymorph energy (0 for the lowest one), meV per atom: 452
Space group: No. 122
Formation energy without anion corrections, kJ/mol of atoms: 83.2
Total moment, Bohr magnetons per cell: 0.0

Cell: 9.4741 9.4741 9.4741 Å, 154.64 154.64 36.18°
Positions (direct):
Tl1 0.0000 0.0000 0.0000
Tl2 0.7500 0.2500 0.5000
Re1 0.2226 0.6250 0.0976
Re2 0.3750 0.4726 0.5976
Re3 0.5274 0.1250 0.9024
Re4 0.8750 0.7774 0.4024
Si1 0.2500 0.7500 0.5000
Si2 0.5000 0.5000 0.0000

[3]
First-principles (GGA-PBE) data for crystalline TlReSi3 at its relaxed geometry, as listed in the Alexandria database.

Volume, Å³ per cell: 108.10
Polymorph energy (0 for the lowest one), meV per atom: 0
Space group: No. 221
Formation energy without anion corrections, kJ/mol of atoms: 41.8
Total moment, Bohr magnetons per cell: 0.0

Cell: 4.7637 4.7637 4.7637 Å, 90.00 90.00 90.00°
Positions (direct):
Tl1 0.0000 0.0000 0.0000
Re1 0.5000 0.5000 0.5000
Si1 0.0000 0.5000 0.5000
Si2 0.5000 0.0000 0.5000
Si3 0.5000 0.5000 0.0000

[4]
First-principles (GGA-PBE) data for crystalline Tl3ReSi at its relaxed geometry, as listed in the Alexandria database.

Volume, Å³ per cell: 151.86
Polymorph energy (0 for the lowest one), meV per atom: 0
Space group: No. 221
Formation energy without anion corrections, kJ/mol of atoms: 112.0
Total moment, Bohr magnetons per cell: 1.9

Cell: 5.3352 5.3352 5.3352 Å, 90.00 90.00 90.00°
Positions (direct):
Tl1 0.0000 0.0000 0.5000
Tl2 0.0000 0.5000 0.0000
Tl3 0.5000 0.0000 0.0000
Re1 0.0000 0.0000 0.0000
Si1 0.5000 0.5000 0.5000

[5]
First-principles (GGA-PBE) data for crystalline TlRe2Si at its relaxed geometry, as listed in the Alexandria database.

Volume, Å³ per cell: 74.82
Polymorph energy (0 for the lowest one), meV per atom: 232
Space group: No. 8
Formation energy without anion corrections, kJ/mol of atoms: 62.0
Total moment, Bohr magnetons per cell: 0.0

Cell: 4.3851 4.3851 6.1845 Å, 99.06 99.06 39.65°
Positions (direct):
Tl1 0.0000 0.0000 0.0000
Re1 0.2463 0.2463 0.6784
Re2 0.5043 0.5043 0.4807
Si1 0.7683 0.7683 0.3447

[6]
First-principles (GGA-PBE) data for crystalline TlRe2Si at its relaxed geometry, as listed in the Alexandria database.

Volume, Å³ per cell: 66.74
Polymorph energy (0 for the lowest one), meV per atom: 522
Space group: No. 12
Formation energy without anion corrections, kJ/mol of atoms: 90.0
Total moment, Bohr magnetons per cell: 0.0

Cell: 5.2498 5.2498 2.9698 Å, 104.93 104.93 112.85°
Positions (direct):
Tl1 0.0000 0.0000 0.0000
Re1 0.0000 0.5000 0.5000
Re2 0.5000 0.0000 0.5000
Si1 0.5000 0.5000 0.0000

[7]
First-principles (GGA-PBE) data for crystalline TlRe2Si at its relaxed geometry, as listed in the Alexandria database.

Volume, Å³ per cell: 65.72
Polymorph energy (0 for the lowest one), meV per atom: 128
Space group: No. 166
Formation energy without anion corrections, kJ/mol of atoms: 52.0
Total moment, Bohr magnetons per cell: 0.0

Cell: 9.1630 9.1630 9.1630 Å, 18.22 18.22 18.22°
Positions (direct):
Tl1 0.0000 0.0000 0.0000
Re1 0.2374 0.2374 0.2374
Re2 0.7626 0.7626 0.7626
Si1 0.5000 0.5000 0.5000

[8]
First-principles (GGA-PBE) data for crystalline Tl4ReSi at its relaxed geometry, as listed in the Alexandria database.

Volume, Å³ per cell: 160.49
Space group: No. 216
Formation energy without anion corrections, kJ/mol of atoms: 132.1
Total moment, Bohr magnetons per cell: 2.8

Cell: 6.0998 6.0998 6.0998 Å, 60.00 60.00 60.00°
Positions (direct):
Tl1 0.1248 0.1248 0.1248
Tl2 0.1248 0.1248 0.6257
Tl3 0.1248 0.6257 0.1248
Tl4 0.6257 0.1248 0.1248
Re1 0.7500 0.7500 0.7500
Si1 0.5000 0.5000 0.5000

[9]
First-principles (GGA-PBE) data for crystalline Tl3ReSi at its relaxed geometry, as listed in the Alexandria database.

Volume, Å³ per cell: 146.26
Polymorph energy (0 for the lowest one), meV per atom: 363
Space group: No. 221
Formation energy without anion corrections, kJ/mol of atoms: 147.0
Total moment, Bohr magnetons per cell: 3.8

Cell: 5.2688 5.2688 5.2688 Å, 90.00 90.00 90.00°
Positions (direct):
Tl1 0.0000 0.0000 0.5000
Tl2 0.0000 0.5000 0.0000
Tl3 0.5000 0.0000 0.0000
Re1 0.5000 0.5000 0.5000
Si1 0.0000 0.0000 0.0000

[10]
First-principles (GGA-PBE) data for crystalline TlRe2Si at its relaxed geometry, as listed in the Alexandria database.

Volume, Å³ per cell: 63.66
Polymorph energy (0 for the lowest one), meV per atom: 468
Space group: No. 123
Formation energy without anion corrections, kJ/mol of atoms: 84.8
Total moment, Bohr magnetons per cell: 0.0

Cell: 4.4518 4.4518 3.2122 Å, 90.00 90.00 90.00°
Positions (direct):
Tl1 0.0000 0.0000 0.0000
Re1 0.0000 0.5000 0.5000
Re2 0.5000 0.0000 0.5000
Si1 0.5000 0.5000 0.0000

[11]
First-principles (GGA-PBE) data for crystalline TlRe2Si at its relaxed geometry, as listed in the Alexandria database.

Volume, Å³ per cell: 72.04
Polymorph energy (0 for the lowest one), meV per atom: 0
Space group: No. 99
Formation energy without anion corrections, kJ/mol of atoms: 39.6
Total moment, Bohr magnetons per cell: 0.0

Cell: 2.9790 2.9790 8.1182 Å, 90.00 90.00 90.00°
Positions (direct):
Tl1 0.0000 0.0000 0.0000
Re1 0.0000 0.0000 0.4736
Re2 0.5000 0.5000 0.2838
Si1 0.5000 0.5000 0.6708

[12]
First-principles (GGA-PBE) data for crystalline TlRe2Si at its relaxed geometry, as listed in the Alexandria database.

Volume, Å³ per cell: 66.48
Polymorph energy (0 for the lowest one), meV per atom: 225
Space group: No. 65
Formation energy without anion corrections, kJ/mol of atoms: 61.3
Total moment, Bohr magnetons per cell: 0.0

Cell: 2.9044 2.9044 8.8083 Å, 90.00 90.00 116.54°
Positions (direct):
Tl1 0.0000 0.0000 0.0000
Re1 0.5000 0.5000 0.2862
Re2 0.5000 0.5000 0.7138
Si1 0.0000 0.0000 0.5000

[13]
First-principles (GGA-PBE) data for crystalline TlRe2Si at its relaxed geometry, as listed in the Alexandria database.

Volume, Å³ per cell: 64.80
Polymorph energy (0 for the lowest one), meV per atom: 495
Space group: No. 119
Formation energy without anion corrections, kJ/mol of atoms: 87.4
Total moment, Bohr magnetons per cell: 0.0

Cell: 4.9543 4.9543 4.9543 Å, 132.53 132.53 69.40°
Positions (direct):
Tl1 0.0000 0.0000 0.0000
Re1 0.2500 0.7500 0.5000
Re2 0.5000 0.5000 0.0000
Si1 0.7500 0.2500 0.5000

[14]
First-principles (GGA-PBE) data for crystalline TlRe2Si at its relaxed geometry, as listed in the Alexandria database.

Volume, Å³ per cell: 68.35
Polymorph energy (0 for the lowest one), meV per atom: 159
Space group: No. 12
Formation energy without anion corrections, kJ/mol of atoms: 54.9
Total moment, Bohr magnetons per cell: 0.0

Cell: 4.4270 4.4270 5.6524 Å, 101.54 101.54 39.15°
Positions (direct):
Tl1 0.0000 0.0000 0.0000
Re1 0.2346 0.2346 0.6876
Re2 0.7654 0.7654 0.3124
Si1 0.5000 0.5000 0.5000

[15]
First-principles (GGA-PBE) data for crystalline TlRe2Si at its relaxed geometry, as listed in the Alexandria database.

Volume, Å³ per cell: 66.11
Polymorph energy (0 for the lowest one), meV per atom: 298
Space group: No. 44
Formation energy without anion corrections, kJ/mol of atoms: 68.3
Total moment, Bohr magnetons per cell: 0.0

Cell: 5.6970 5.6970 5.6970 Å, 148.57 136.36 54.76°
Positions (direct):
Tl1 0.0000 0.0000 0.0000
Re1 0.3055 0.8055 0.5000
Re2 0.5604 0.5604 0.0000
Si1 0.7499 0.2499 0.5000

[16]
First-principles (GGA-PBE) data for crystalline TlRe2Si at its relaxed geometry, as listed in the Alexandria database.

Volume, Å³ per cell: 66.77
Polymorph energy (0 for the lowest one), meV per atom: 551
Space group: No. 47
Formation energy without anion corrections, kJ/mol of atoms: 92.7
Total moment, Bohr magnetons per cell: 0.0

Cell: 3.0463 4.4075 4.9732 Å, 90.00 90.00 90.00°
Positions (direct):
Tl1 0.0000 0.0000 0.0000
Re1 0.0000 0.5000 0.5000
Re2 0.5000 0.5000 0.0000
Si1 0.5000 0.0000 0.5000

[17]
First-principles (GGA-PBE) data for crystalline TlRe2Si at its relaxed geometry, as listed in the Alexandria database.

Volume, Å³ per cell: 66.65
Polymorph energy (0 for the lowest one), meV per atom: 182
Space group: No. 10
Formation energy without anion corrections, kJ/mol of atoms: 57.1
Total moment, Bohr magnetons per cell: 0.0

Cell: 2.9918 3.9149 5.8088 Å, 90.00 101.58 90.00°
Positions (direct):
Tl1 0.0000 0.0000 0.0000
Re1 0.3577 0.5000 0.7017
Re2 0.6423 0.5000 0.2983
Si1 0.0000 0.0000 0.5000

[18]
First-principles (GGA-PBE) data for crystalline TlRe2Si at its relaxed geometry, as listed in the Alexandria database.

Volume, Å³ per cell: 63.62
Polymorph energy (0 for the lowest one), meV per atom: 445
Space group: No. 225
Formation energy without anion corrections, kJ/mol of atoms: 82.5
Total moment, Bohr magnetons per cell: 0.0

Cell: 4.4810 4.4810 4.4810 Å, 60.00 60.00 60.00°
Positions (direct):
Tl1 0.0000 0.0000 0.0000
Re1 0.2500 0.2500 0.2500
Re2 0.7500 0.7500 0.7500
Si1 0.5000 0.5000 0.5000

[19]
First-principles (GGA-PBE) data for crystalline Y2TlReSi at its relaxed geometry, as listed in the Alexandria database.

Volume, Å³ per cell: 150.79
Space group: No. 123
Formation energy without anion corrections, kJ/mol of atoms: 149.4
Total moment, Bohr magnetons per cell: 2.3

Cell: 5.6305 5.6305 4.7564 Å, 90.00 90.00 90.00°
Positions (direct):
Y1 0.0000 0.5000 0.0000
Y2 0.5000 0.0000 0.0000
Tl1 0.0000 0.0000 0.0000
Re1 0.5000 0.5000 0.5000
Si1 0.0000 0.0000 0.5000

[20]
First-principles (GGA-PBE) data for crystalline TlZnRe2Si at its relaxed geometry, as listed in the Alexandria database.

Volume, Å³ per cell: 105.43
Space group: No. 123
Formation energy without anion corrections, kJ/mol of atoms: 203.4
Total moment, Bohr magnetons per cell: 3.5

Cell: 4.7083 4.7083 4.7560 Å, 90.00 90.00 90.00°
Positions (direct):
Tl1 0.0000 0.0000 0.0000
Zn1 0.0000 0.0000 0.5000
Re1 0.0000 0.5000 0.5000
Re2 0.5000 0.0000 0.5000
Si1 0.5000 0.5000 0.0000

[21]
First-principles (GGA-PBE) data for crystalline Tm2ReSi2 at its relaxed geometry, as listed in the Alexandria database.

Volume, Å³ per cell: 214.80
Space group: No. 36
Formation energy without anion corrections, kJ/mol of atoms: -42.1
Total moment, Bohr magnetons per cell: 0.0

Cell: 7.3385 7.3385 7.3071 Å, 90.00 90.00 146.92°
Positions (direct):
Tm1 0.0332 0.9668 0.5000
Tm2 0.2177 0.7823 0.8522
Tm3 0.7823 0.2177 0.3522
Tm4 0.9668 0.0332 0.0000
Re1 0.4064 0.5936 0.6355
Re2 0.5936 0.4064 0.1355
Si1 0.1624 0.8376 0.2163
Si2 0.4345 0.5655 0.2955
Si3 0.5655 0.4345 0.7955
Si4 0.8376 0.1624 0.7163

[22]
First-principles (GGA-PBE) data for crystalline TmRe2Si2 at its relaxed geometry, as listed in the Alexandria database.

Volume, Å³ per cell: 164.65
Space group: No. 11
Formation energy without anion corrections, kJ/mol of atoms: -39.7
Total moment, Bohr magnetons per cell: 0.0

Cell: 4.5838 3.3869 10.6613 Å, 90.00 95.85 90.00°
Positions (direct):
Tm1 0.2045 0.2500 0.2546
Tm2 0.7955 0.7500 0.7454
Re1 0.2614 0.7500 0.4918
Re2 0.3286 0.2500 0.8905
Re3 0.6714 0.7500 0.1095
Re4 0.7386 0.2500 0.5082
Si1 0.1680 0.7500 0.0340
Si2 0.2632 0.2500 0.6577
Si3 0.7368 0.7500 0.3423
Si4 0.8320 0.2500 0.9660

[23]
First-principles (GGA-PBE) data for crystalline TmRe2Si3 at its relaxed geometry, as listed in the Alexandria database.

Volume, Å³ per cell: 203.29
Space group: No. 63
Formation energy without anion corrections, kJ/mol of atoms: -29.5
Total moment, Bohr magnetons per cell: 0.0

Cell: 6.0878 6.0878 8.3536 Å, 90.00 90.00 138.96°
Positions (direct):
Tm1 0.1864 0.8136 0.7500
Tm2 0.8136 0.1864 0.2500
Re1 0.0000 0.0000 0.0000
Re2 0.0000 0.0000 0.5000
Re3 0.4590 0.5410 0.7500
Re4 0.5410 0.4590 0.2500
Si1 0.1363 0.8637 0.2500
Si2 0.3828 0.6172 0.0332
Si3 0.3828 0.6172 0.4668
Si4 0.6172 0.3828 0.5332
Si5 0.6172 0.3828 0.9668
Si6 0.8637 0.1363 0.7500

[24]
First-principles (GGA-PBE) data for crystalline Tm3Re2Si4 at its relaxed geometry, as listed in the Alexandria database.

Volume, Å³ per cell: 167.69
Space group: No. 12
Formation energy without anion corrections, kJ/mol of atoms: -60.0
Total moment, Bohr magnetons per cell: 0.0

Cell: 5.7086 5.7086 8.0504 Å, 108.73 108.73 42.92°
Positions (direct):
Tm1 0.0000 0.0000 0.0000
Tm2 0.3771 0.3771 0.3015
Tm3 0.6229 0.6229 0.6985
Re1 0.3220 0.3220 0.6492
Re2 0.6780 0.6780 0.3508
Si1 0.0938 0.0938 0.4193
Si2 0.2864 0.2864 0.9260
Si3 0.7136 0.7136 0.0740
Si4 0.9062 0.9062 0.5807

[25]
First-principles (GGA-PBE) data for crystalline Tm2Re3Si4 at its relaxed geometry, as listed in the Alexandria database.

Volume, Å³ per cell: 288.18
Polymorph energy (0 for the lowest one), meV per atom: 0
Space group: No. 14
Formation energy without anion corrections, kJ/mol of atoms: -58.1
Total moment, Bohr magnetons per cell: 0.0

Cell: 6.7377 6.7504 6.7504 Å, 90.00 110.18 90.00°
Positions (direct):
Tm1 0.1915 0.1692 0.0574
Tm2 0.1915 0.3308 0.5574
Tm3 0.8085 0.6692 0.4426
Tm4 0.8085 0.8308 0.9426
Re1 0.2366 0.6473 0.2581
Re2 0.2366 0.8527 0.7581
Re3 0.5000 0.0000 0.5000
Re4 0.5000 0.5000 0.0000
Re5 0.7634 0.1473 0.2419
Re6 0.7634 0.3527 0.7419
Si1 0.1004 0.5509 0.8745
Si2 0.1004 0.9491 0.3745
Si3 0.4877 0.6404 0.6322
Si4 0.4877 0.8596 0.1322
Si5 0.5123 0.1404 0.8678
Si6 0.5123 0.3596 0.3678
Si7 0.8996 0.0509 0.6255
Si8 0.8996 0.4491 0.1255

[26]
First-principles (GGA-PBE) data for crystalline Tm2Re3Si4 at its relaxed geometry, as listed in the Alexandria database.

Volume, Å³ per cell: 155.10
Polymorph energy (0 for the lowest one), meV per atom: 235
Space group: No. 69
Formation energy without anion corrections, kJ/mol of atoms: -35.4
Total moment, Bohr magnetons per cell: 0.0

Cell: 7.7727 6.7730 5.3720 Å, 78.65 58.69 42.66°
Positions (direct):
Tm1 0.1381 0.1381 0.8619
Tm2 0.8619 0.8619 0.1381
Re1 0.0000 0.0000 0.5000
Re2 0.5000 0.5000 0.0000
Re3 0.5000 0.5000 0.5000
Si1 0.1649 0.5084 0.4916
Si2 0.4916 0.8351 0.1649
Si3 0.5084 0.1649 0.8351
Si4 0.8351 0.4916 0.5084

[27]
First-principles (GGA-PBE) data for crystalline UReSi at its relaxed geometry, as listed in the Alexandria database.

Volume, Å³ per cell: 53.49
Space group: No. 187
Formation energy without anion corrections, kJ/mol of atoms: -18.9
Total moment, Bohr magnetons per cell: 0.0

Cell: 4.3527 4.3527 3.2603 Å, 90.00 90.00 120.00°
Positions (direct):
U1 0.0000 0.0000 0.0000
Re1 0.6667 0.3333 0.5000
Si1 0.3333 0.6667 0.5000